[1]
An optimized crystal structure of ScHg2SbSe, computed with GGA-PBE.

Cell and atoms, written as POSCAR:
```
ScHg2SbSe
1.0
5.308 0.000 0.000
0.000 5.308 0.000
0.000 0.000 5.100
Sc Hg Sb Se
1 2 1 1
Direct
0.000 0.000 0.000
0.000 0.500 0.500
0.500 0.000 0.500
0.500 0.500 0.000
0.000 0.000 0.500
```

The energy relative to the elements, uncorrected is 72 meV/atom. Its calculated volume is 28.74 A^3/atom. The value obtained for the calculated density is 7.5 g/cm3. As for the spin magnetization: 0.0000 μB/atom. The calculation puts the density of states at the Fermi level at 0.70 states/eV/atom.



[2]
An optimized crystal structure of CsCe2RuO8, computed with GGA-PBE.

Cell and atoms, written as POSCAR:
```
CsCe2RuO8
1.0
5.223 0.000 0.000
1.306 5.450 0.000
2.240 -0.270 6.547
Cs Ce Ru O
1 2 1 8
Direct
0.000 0.000 0.000
0.332 0.550 0.286
0.668 0.450 0.714
0.500 0.000 0.500
0.148 0.251 0.567
0.273 0.430 0.045
0.331 0.728 0.612
0.448 0.932 0.259
0.552 0.068 0.741
0.669 0.272 0.388
0.727 0.570 0.955
0.852 0.749 0.433
```

The energy relative to the elements, uncorrected is -1977 meV/atom. Its calculated volume is 15.53 A^3/atom. The value obtained for the calculated density is 5.7 g/cm3. As for the spin magnetization: 0.0884 μB/atom. The calculation puts the density of states at the Fermi level at 0.20 states/eV/atom.



[3]
An optimized crystal structure of LaPrTl, computed with GGA-PBE.

Cell and atoms, written as POSCAR:
```
LaPrTl
1.0
2.832 -6.206 0.000
2.832 6.206 0.000
0.000 0.000 5.633
La Pr Tl
2 2 2
Direct
0.088 0.912 0.750
0.912 0.088 0.250
0.397 0.603 0.750
0.603 0.397 0.250
0.251 0.749 0.250
0.749 0.251 0.750
```

The value obtained for the polymorph energy (0 for the lowest one) is 0.051 eV per atom. Its calculated volume is 33.00 A^3/atom. The value obtained for the calculated density is 8.1 g/cm3. As for the spin magnetization: 0.0000 μB/atom. The calculation puts the density of states at the Fermi level at 1.15 states/eV/atom. The formation enthalpy at 0 K is -0.234 eV per atom.